# MnZnCo | Alexandria | PBE-GGA | optimized geometry
data_MnZnCo
_space_group_name_H-M_alt 'P 1 21/m 1'
_space_group_IT_number 11
_space_group_name_Hall '-P 2yb'
_cell_length_a 2.511
_cell_length_b 3.866
_cell_length_c 7.369
_cell_angle_alpha 90.00
_cell_angle_beta 98.89
_cell_angle_gamma 90.00
loop_
_atom_site_label
_atom_site_fract_x
_atom_site_fract_y
_atom_site_fract_z
Mn1 0.029 0.250 0.069
Zn1 0.204 0.250 0.410
Co1 0.399 0.250 0.782
# DFT formation energy = 0.11 eV/atom
# Energy relative to the lowest polymorph listed for this composition = 0.34 eV/f.u.
# Final energy = -0.2110 Ha/atom
# Fermi-level density of states = 1.12 states/eV/atom

***

# Zr2MnCo2 | Alexandria | PBE-GGA | optimized geometry
data_Zr2MnCo2
_space_group_name_H-M_alt 'P 4/m b m'
_space_group_IT_number 127
_space_group_name_Hall '-P 4 2ab'
_cell_length_a 6.375
_cell_length_b 6.375
_cell_length_c 3.908
_cell_angle_alpha 90.00
_cell_angle_beta 90.00
_cell_angle_gamma 90.00
loop_
_atom_site_label
_atom_site_fract_x
_atom_site_fract_y
_atom_site_fract_z
Zr1 0.181 0.319 0.000
Mn1 0.000 0.000 0.500
Co1 0.129 0.629 0.500
# DFT formation energy = -0.17 eV/atom
# Final energy = -0.3037 Ha/atom
# Fermi-level density of states = 1.38 states/eV/atom

***

| no. | spin magnetization (μB per formula unit) |
| --- | --- |
| 1 | 0.7 |
| 2 | 2.8 |